[1]
Computed, not measured: a relaxed AcLaPuGe crystal at the GGA-PBE level of DFT.

The structure belongs to space group F-43m (No. 216); the cell edges are 7.7784, 7.7784 and 7.7784 Å and the angles 90.00°, 90.00° and 90.00°. The inequivalent atoms are Ac at (0.0000, 0.0000, 0.0000), La at (0.2500, 0.2500, 0.7500), Pu at (0.2500, 0.2500, 0.2500) and Ge at (0.0000, 0.0000, 0.5000).

The value obtained for the density of states at the Fermi level is 3.591 states/eV per atom. As for the formation energy: 0.059 eV per atom.

---

[2]
Computed, not measured: a relaxed AcLaGeRh crystal at the GGA-PBE level of DFT.

The structure belongs to space group F-43m (No. 216); the cell edges are 7.5018, 7.5018 and 7.5018 Å and the angles 90.00°, 90.00° and 90.00°. The inequivalent atoms are Ac at (0.0000, 0.0000, 0.0000), La at (0.0000, 0.0000, 0.5000), Ge at (0.2500, 0.2500, 0.7500) and Rh at (0.2500, 0.2500, 0.2500).

The value obtained for the energy above the most stable polymorph in this dataset is 0 meV per atom. The value obtained for the density of states at the Fermi level is 0.850 states/eV per atom. As for the formation energy: -0.559 eV per atom.

---

[3]
Computed, not measured: a relaxed Ac2LaGe3Rh4 crystal at the GGA-PBE level of DFT.

The structure belongs to space group P-4m2 (No. 115); the cell edges are 4.3654, 4.3654 and 11.2703 Å and the angles 90.00°, 90.00° and 90.00°. The inequivalent atoms are Ac at (0.0000, 0.5000, 0.2295), La at (0.0000, 0.0000, 0.5000), Ge at (0.0000, 0.5000, 0.8831), Ge at (0.5000, 0.5000, 0.5000), Rh at (0.0000, 0.0000, 0.0000), Rh at (0.0000, 0.5000, 0.6590) and Rh at (0.5000, 0.5000, 0.0000).

The value obtained for the density of states at the Fermi level is 0.496 states/eV per atom. As for the formation energy: -0.823 eV per atom.

---

[4]
Computed, not measured: a relaxed AcLaGeRh crystal at the GGA-PBE level of DFT.

The structure belongs to space group P4/nmm (No. 129, origin choice 2); the cell edges are 4.8759, 4.8759 and 10.3617 Å and the angles 90.00°, 90.00° and 90.00°. The inequivalent atoms are Ac at (0.2500, 0.2500, 0.1608), La at (0.2500, 0.7500, 0.5000), Ge at (0.2500, 0.2500, 0.8657) and Rh at (0.2500, 0.2500, 0.6360).

The value obtained for the energy above the most stable polymorph in this dataset is 40 meV per atom. The value obtained for the density of states at the Fermi level is 0.805 states/eV per atom. As for the formation energy: -0.519 eV per atom.

---

[5]
Computed, not measured: a relaxed AcLaGeS crystal at the GGA-PBE level of DFT.

The structure belongs to space group R3m (No. 160, hexagonal axes); the cell edges are 4.4213, 4.4213 and 21.3738 Å and the angles 90.00°, 90.00° and 120.00°. The inequivalent atoms are Ac at (0.0000, 0.0000, 0.0000), La at (0.0000, 0.0000, 0.5000), Ge at (0.0000, 0.0000, 0.2463) and S at (0.0000, 0.0000, 0.7529).

Its raw formation energy is -551 kJ/mol of formula units. The value obtained for the density of states at the Fermi level is 0.425 states/eV per atom.

---

[6]
Computed, not measured: a relaxed AcLaSiGe crystal at the GGA-PBE level of DFT.

The structure belongs to space group F-43m (No. 216); the cell edges are 7.6289, 7.6289 and 7.6289 Å and the angles 90.00°, 90.00° and 90.00°. The inequivalent atoms are Ac at (0.0000, 0.0000, 0.0000), La at (0.0000, 0.0000, 0.5000), Si at (0.2500, 0.2500, 0.2500) and Ge at (0.2500, 0.2500, 0.7500).

Its raw formation energy is -175 kJ/mol of formula units. The value obtained for the energy above the most stable polymorph in this dataset is 241 meV per atom. The value obtained for the density of states at the Fermi level is 1.258 states/eV per atom.

---

[7]
Computed, not measured: a relaxed AcLaSiGe crystal at the GGA-PBE level of DFT.

The structure belongs to space group Amm2 (No. 38); the cell edges are 4.1306, 4.6802 and 11.5422 Å and the angles 90.00°, 90.00° and 90.00°. The inequivalent atoms are Ac at (0.0000, 0.0000, 0.0000), La at (0.5000, 0.0000, 0.7201), Si at (0.0000, 0.0000, 0.2829) and Ge at (0.5000, 0.0000, 0.4243).

Its raw formation energy is -268 kJ/mol of formula units. The value obtained for the energy above the most stable polymorph in this dataset is 0 meV per atom. The value obtained for the density of states at the Fermi level is 0.974 states/eV per atom.

---

[8]
Computed, not measured: a relaxed AcLaSmGe crystal at the GGA-PBE level of DFT.

The structure belongs to space group F-43m (No. 216); the cell edges are 7.8743, 7.8743 and 7.8743 Å and the angles 90.00°, 90.00° and 90.00°. The inequivalent atoms are Ac at (0.0000, 0.0000, 0.0000), La at (0.2500, 0.2500, 0.2500), Sm at (0.2500, 0.2500, 0.7500) and Ge at (0.0000, 0.0000, 0.5000).

The value obtained for the density of states at the Fermi level is 1.476 states/eV per atom. As for the formation energy: -0.057 eV per atom.

---

[9]
Computed, not measured: a relaxed AcLaGeTe crystal at the GGA-PBE level of DFT.

The structure belongs to space group F-43m (No. 216); the cell edges are 7.8884, 7.8884 and 7.8884 Å and the angles 90.00°, 90.00° and 90.00°. The inequivalent atoms are Ac at (0.0000, 0.0000, 0.0000), La at (0.0000, 0.0000, 0.5000), Ge at (0.2500, 0.2500, 0.7500) and Te at (0.2500, 0.2500, 0.2500).

Its raw formation energy is -362 kJ/mol of formula units. The value obtained for the density of states at the Fermi level is 0.543 states/eV per atom.

---

[10]
Computed, not measured: a relaxed Ac3La3Tl2Ge crystal at the GGA-PBE level of DFT.

The structure belongs to space group P-62m (No. 189); the cell edges are 9.1405, 9.1405 and 4.3246 Å and the angles 90.00°, 90.00° and 120.00°. The inequivalent atoms are Ac at (0.0000, 0.7406, 0.0000), La at (0.0000, 0.3974, 0.5000), Tl at (0.3333, 0.6667, 0.0000) and Ge at (0.0000, 0.0000, 0.5000).

The value obtained for the density of states at the Fermi level is 1.554 states/eV per atom. As for the formation energy: -0.347 eV per atom.

---

[11]
Computed, not measured: a relaxed AcLaTlGe crystal at the GGA-PBE level of DFT.

The structure belongs to space group F-43m (No. 216); the cell edges are 7.8949, 7.8949 and 7.8949 Å and the angles 90.00°, 90.00° and 90.00°. The inequivalent atoms are Ac at (0.0000, 0.0000, 0.0000), La at (0.0000, 0.0000, 0.5000), Tl at (0.2500, 0.2500, 0.2500) and Ge at (0.2500, 0.2500, 0.7500).

The value obtained for the density of states at the Fermi level is 0.641 states/eV per atom. As for the formation energy: -0.448 eV per atom.

---

[12]
Computed, not measured: a relaxed AcLaZnGe crystal at the GGA-PBE level of DFT.

The structure belongs to space group F-43m (No. 216); the cell edges are 7.6517, 7.6517 and 7.6517 Å and the angles 90.00°, 90.00° and 90.00°. The inequivalent atoms are Ac at (0.0000, 0.0000, 0.0000), La at (0.0000, 0.0000, 0.5000), Zn at (0.2500, 0.2500, 0.2500) and Ge at (0.2500, 0.2500, 0.7500).

The value obtained for the energy above the most stable polymorph in this dataset is 83 meV per atom. The value obtained for the density of states at the Fermi level is 0.935 states/eV per atom. As for the formation energy: -0.474 eV per atom.

---

[13]
Computed, not measured: a relaxed AcLa2Zn2Ge2 crystal at the GGA-PBE level of DFT.

The structure belongs to space group R-3m (No. 166, hexagonal axes); the cell edges are 4.2794, 4.2794 and 36.5746 Å and the angles 90.00°, 90.00° and 120.00°. The inequivalent atoms are Ac at (0.0000, 0.0000, 0.0000), La at (0.0000, 0.0000, 0.1228), Zn at (0.0000, 0.0000, 0.3988) and Ge at (0.0000, 0.0000, 0.2692).

The value obtained for the density of states at the Fermi level is 0.893 states/eV per atom. As for the formation energy: -0.488 eV per atom.

---

[14]
Computed, not measured: a relaxed AcLaZnGe crystal at the GGA-PBE level of DFT.

The structure belongs to space group Amm2 (No. 38); the cell edges are 4.2865, 4.5098 and 11.8596 Å and the angles 90.00°, 90.00° and 90.00°. The inequivalent atoms are Ac at (0.0000, 0.0000, 0.0000), La at (0.5000, 0.0000, 0.2866), Zn at (0.5000, 0.0000, 0.5849) and Ge at (0.0000, 0.0000, 0.7199).

The value obtained for the energy above the most stable polymorph in this dataset is 0 meV per atom. The value obtained for the density of states at the Fermi level is 0.790 states/eV per atom. As for the formation energy: -0.557 eV per atom.

---

[15]
Computed, not measured: a relaxed AcLaZn2Ge2 crystal at the GGA-PBE level of DFT.

The structure belongs to space group P-3m1 (No. 164); the cell edges are 4.3263, 4.3263 and 9.0073 Å and the angles 90.00°, 90.00° and 120.00°. The inequivalent atoms are Ac at (0.0000, 0.0000, 0.0000), La at (0.0000, 0.0000, 0.5000), Zn at (0.3333, 0.6667, 0.7439) and Ge at (0.3333, 0.6667, 0.2627).

The value obtained for the density of states at the Fermi level is 0.752 states/eV per atom. As for the formation energy: -0.662 eV per atom.

---

[16]
Computed, not measured: a relaxed Ac2LaZn2Ge2 crystal at the GGA-PBE level of DFT.

The structure belongs to space group R-3m (No. 166, hexagonal axes); the cell edges are 4.2741, 4.2741 and 37.9012 Å and the angles 90.00°, 90.00° and 120.00°. The inequivalent atoms are Ac at (0.0000, 0.0000, 0.1194), La at (0.0000, 0.0000, 0.0000), Zn at (0.0000, 0.0000, 0.3943) and Ge at (0.0000, 0.0000, 0.2783).

The value obtained for the density of states at the Fermi level is 0.976 states/eV per atom. As for the formation energy: -0.514 eV per atom.

---

[17]
Computed, not measured: a relaxed LiAcGe3 crystal at the GGA-PBE level of DFT.

The structure belongs to space group Cmcm (No. 63); the cell edges are 4.4278, 26.2314 and 4.0977 Å and the angles 90.00°, 90.00° and 90.00°. The inequivalent atoms are Li at (0.0000, 0.2034, 0.2500), Ac at (0.0000, 0.0799, 0.7500), Ge at (0.0000, 0.3064, 0.2500), Ge at (0.0000, 0.3635, 0.7500) and Ge at (0.0000, 0.4707, 0.7500).

The value obtained for the energy above the most stable polymorph in this dataset is 0 meV per atom. The value obtained for the density of states at the Fermi level is 0.489 states/eV per atom. As for the formation energy: -0.437 eV per atom.

---

[18]
Computed, not measured: a relaxed Li2Ac2Ge crystal at the GGA-PBE level of DFT.

The structure belongs to space group I4/mmm (No. 139); the cell edges are 3.9721, 3.9721 and 19.6588 Å and the angles 90.00°, 90.00° and 90.00°. The inequivalent atoms are Li at (0.0000, 0.5000, 0.2500), Ac at (0.0000, 0.0000, 0.0873) and Ge at (0.0000, 0.0000, 0.5000).

The value obtained for the density of states at the Fermi level is 1.191 states/eV per atom. As for the formation energy: -0.135 eV per atom.

---

[19]
Computed, not measured: a relaxed Li2Ac3Ge3 crystal at the GGA-PBE level of DFT.

The structure belongs to space group Cmcm (No. 63); the cell edges are 4.6225, 11.8930 and 15.5848 Å and the angles 90.00°, 90.00° and 90.00°. The inequivalent atoms are Li at (0.0000, 0.2129, 0.0778), Ac at (0.0000, 0.0843, 0.6127), Ac at (0.0000, 0.3680, 0.7500), Ge at (0.0000, 0.3243, 0.2500) and Ge at (0.0000, 0.4026, 0.5439).

The value obtained for the density of states at the Fermi level is 0.382 states/eV per atom. As for the formation energy: -0.606 eV per atom.

---

[20]
Computed, not measured: a relaxed LiAcGe2 crystal at the GGA-PBE level of DFT.

The structure belongs to space group R-3m (No. 166, hexagonal axes); the cell edges are 4.3593, 4.3593 and 16.8090 Å and the angles 90.00°, 90.00° and 120.00°. The inequivalent atoms are Li at (0.0000, 0.0000, 0.0000), Ac at (0.0000, 0.0000, 0.5000) and Ge at (0.0000, 0.0000, 0.2905).

The value obtained for the energy above the most stable polymorph in this dataset is 159 meV per atom. The value obtained for the density of states at the Fermi level is 0.429 states/eV per atom. As for the formation energy: -0.487 eV per atom.